First-principles (PBE) data for a relaxed structure of YCuRu2C, as listed in the Alexandria database.

For the calculated density, the calculation gives 7.49 Mg/m³. The energy relative to the elements comes out at 1.09 eV per atom.

extended XYZ file:
```
5
Lattice="4.785 0.000 0.000 0.000 4.785 0.000 0.000 0.000 3.549" Properties=species:S:1:pos:R:3 pbc="T T T"
Y 0.000 0.000 0.000
Cu 2.393 2.393 1.774
Ru 0.000 2.393 1.774
Ru 2.393 0.000 1.774
C 2.393 2.393 0.000
```